Below is crystalline Ge11N11O5 at its relaxed geometry, with properties calculated at the PBE level.

```
data_Ge11N11O5
_chemical_formula_sum 'Ge11 N11 O5'
_cell_length_a 5.9209
_cell_length_b 5.9209
_cell_length_c 10.2037
_cell_angle_alpha 73.44
_cell_angle_beta 73.44
_cell_angle_gamma 60.03
_space_group_name_H-M_alt 'P 1'
_space_group_IT_number 1
loop_
_space_group_symop_operation_xyz
'x,y,z'
loop_
_atom_site_label
_atom_site_fract_x
_atom_site_fract_y
_atom_site_fract_z
N1 0.8448 0.3009 0.5633
N2 0.3097 0.3097 0.0709
N3 0.3311 0.7999 0.0696
N4 0.5717 0.0433 0.8075
N5 0.0652 0.0652 0.8025
N6 0.3009 0.8448 0.5633
N7 0.5711 0.5711 0.2958
N8 0.5700 0.5700 0.8109
N9 0.8009 0.8009 0.0690
N10 0.0433 0.5717 0.8075
N11 0.7999 0.3311 0.0696
Ge1 0.9262 0.4336 0.6950
Ge2 0.1856 0.1856 0.4316
Ge3 0.3724 0.3724 0.8743
Ge4 0.4336 0.9262 0.6950
Ge5 0.4378 0.9425 0.1847
Ge6 0.9360 0.9360 0.6886
Ge7 0.5103 0.5103 0.4939
Ge8 0.9983 0.9983 0.0059
Ge9 0.4372 0.4372 0.1867
Ge10 0.6869 0.6869 0.9400
Ge11 0.9425 0.4378 0.1847
O1 0.3015 0.3015 0.5623
O2 0.7997 0.7997 0.5936
O3 0.0896 0.5215 0.3037
O4 0.0872 0.0872 0.3012
O5 0.5215 0.0896 0.3037
```

## Properties
Formation energy from raw total energies, eV per atom: -0.3585
Electronic total energy, eV/atom: -6.550
Volume, Å³/atom: 10.84
Magnetic moment, μB/f.u.: 0.00
ΔE to the lowest computed polymorph, eV/atom: 0.000
ρ, g cm⁻³: 5.86

---

Below is crystalline GeN2O2 at its relaxed geometry, with properties calculated at the PBE level.

```
data_GeN2O2
_chemical_formula_sum 'Ge1 N2 O2'
_cell_length_a 2.9588
_cell_length_b 2.9589
_cell_length_c 9.4847
_cell_angle_alpha 91.16
_cell_angle_beta 90.00
_cell_angle_gamma 120.00
_space_group_name_H-M_alt 'P 1'
_space_group_IT_number 1
loop_
_space_group_symop_operation_xyz
'x,y,z'
loop_
_atom_site_label
_atom_site_fract_x
_atom_site_fract_y
_atom_site_fract_z
O1 0.6710 0.3421 0.1010
O2 0.3290 0.6579 0.8990
N1 0.9981 0.9963 0.4414
N2 0.0019 0.0037 0.5586
Ge1 0.0000 0.0000 0.0000
```

## Properties
Formation energy from raw total energies, eV per atom: -0.8342
Electronic total energy, eV/atom: -7.071
Volume, Å³/atom: 14.38
Magnetic moment, μB/f.u.: 0.00
ΔE to the lowest computed polymorph, eV/atom: 0.000
ρ, g cm⁻³: 3.06

---

Below is crystalline GeN2O2 at its relaxed geometry, with properties calculated at the PBE level.

```
data_GeN2O2
_chemical_formula_sum 'Ge1 N2 O2'
_cell_length_a 3.6221
_cell_length_b 3.6221
_cell_length_c 4.0458
_cell_angle_alpha 90.00
_cell_angle_beta 90.00
_cell_angle_gamma 90.00
_space_group_name_H-M_alt 'P 1'
_space_group_IT_number 1
loop_
_space_group_symop_operation_xyz
'x,y,z'
loop_
_atom_site_label
_atom_site_fract_x
_atom_site_fract_y
_atom_site_fract_z
O1 0.0000 0.5000 0.0000
O2 0.5000 0.0000 0.0000
N1 0.0000 0.0000 0.5000
N2 0.5000 0.5000 0.5000
Ge1 0.0000 0.0000 0.0000
```

## Properties
Formation energy from raw total energies, eV per atom: 1.4451
Electronic total energy, eV/atom: -4.792
Volume, Å³/atom: 10.62
Magnetic moment, μB/f.u.: 2.35
ΔE to the lowest computed polymorph, eV/atom: 2.279
ρ, g cm⁻³: 4.15

---

Below is crystalline GeN3O at its relaxed geometry, with properties calculated at the PBE level.

```
data_GeN3O
_chemical_formula_sum 'Ge1 N3 O1'
_cell_length_a 3.7934
_cell_length_b 3.7934
_cell_length_c 3.7934
_cell_angle_alpha 90.00
_cell_angle_beta 90.00
_cell_angle_gamma 90.00
_space_group_name_H-M_alt 'P 1'
_space_group_IT_number 1
loop_
_space_group_symop_operation_xyz
'x,y,z'
loop_
_atom_site_label
_atom_site_fract_x
_atom_site_fract_y
_atom_site_fract_z
O1 0.5000 0.5000 0.5000
Ge1 0.0000 0.0000 0.0000
N1 0.0000 0.0000 0.5000
N2 0.0000 0.5000 0.0000
N3 0.5000 0.0000 0.0000
```

## Properties
Formation energy from raw total energies, eV per atom: 2.3401
Electronic total energy, eV/atom: -4.570
Volume, Å³/atom: 10.92
Magnetic moment, μB/f.u.: 4.46
ρ, g cm⁻³: 3.97

---

Below is crystalline GeN2O2 at its relaxed geometry, with properties calculated at the PBE level.

```
data_GeN2O2
_chemical_formula_sum 'Ge1 N2 O2'
_cell_length_a 3.6137
_cell_length_b 3.6137
_cell_length_c 3.5635
_cell_angle_alpha 90.00
_cell_angle_beta 90.00
_cell_angle_gamma 90.00
_space_group_name_H-M_alt 'P 1'
_space_group_IT_number 1
loop_
_space_group_symop_operation_xyz
'x,y,z'
loop_
_atom_site_label
_atom_site_fract_x
_atom_site_fract_y
_atom_site_fract_z
O1 0.0000 0.0000 0.0000
O2 0.0000 0.0000 0.5000
N1 0.0000 0.5000 0.0000
N2 0.5000 0.0000 0.0000
Ge1 0.5000 0.5000 0.5000
```

## Properties
Formation energy from raw total energies, eV per atom: 1.9570
Electronic total energy, eV/atom: -4.280
Volume, Å³/atom: 9.31
Magnetic moment, μB/f.u.: 0.00
ΔE to the lowest computed polymorph, eV/atom: 2.791
ρ, g cm⁻³: 4.73

---

Below is crystalline Ge11N11O5 at its relaxed geometry, with properties calculated at the PBE level.

```
data_Ge11N11O5
_chemical_formula_sum 'Ge11 N11 O5'
_cell_length_a 10.2266
_cell_length_b 10.2266
_cell_length_c 10.2266
_cell_angle_alpha 33.60
_cell_angle_beta 33.60
_cell_angle_gamma 33.60
_space_group_name_H-M_alt 'P 1'
_space_group_IT_number 1
loop_
_space_group_symop_operation_xyz
'x,y,z'
loop_
_atom_site_label
_atom_site_fract_x
_atom_site_fract_y
_atom_site_fract_z
N1 0.9264 0.9264 0.4571
N2 0.7025 0.7025 0.1683
N3 0.1890 0.1890 0.1890
N4 0.1683 0.7025 0.7025
N5 0.9264 0.4571 0.9264
N6 0.4571 0.9264 0.9264
N7 0.2001 0.6634 0.2001
N8 0.2001 0.2001 0.6634
N9 0.7025 0.1683 0.7025
N10 0.6634 0.2001 0.2001
N11 0.4340 0.4340 0.4340
Ge1 0.3115 0.3115 0.3115
Ge2 0.5490 0.0660 0.0660
Ge3 0.0660 0.0660 0.5490
Ge4 0.8126 0.8126 0.8126
Ge5 0.1231 0.1231 0.1231
Ge6 0.5629 0.5629 0.0638
Ge7 0.0638 0.5629 0.5629
Ge8 0.0660 0.5490 0.0660
Ge9 0.5629 0.0638 0.5629
Ge10 0.5012 0.5012 0.5012
Ge11 0.0023 0.0023 0.0023
O1 0.9357 0.9357 0.9357
O2 0.9772 0.4117 0.4117
O3 0.4117 0.4117 0.9772
O4 0.6974 0.6974 0.6974
O5 0.4117 0.9772 0.4117
```

## Properties
Formation energy from raw total energies, eV per atom: -0.3538
Electronic total energy, eV/atom: -6.545
Volume, Å³/atom: 10.81
Magnetic moment, μB/f.u.: 0.00
ΔE to the lowest computed polymorph, eV/atom: 0.005
ρ, g cm⁻³: 5.88

---

Below is crystalline GeOsNO2 at its relaxed geometry, with properties calculated at the PBE level.

```
data_GeOsNO2
_chemical_formula_sum 'Ge1 Os1 N1 O2'
_cell_length_a 3.6424
_cell_length_b 3.6424
_cell_length_c 4.0745
_cell_angle_alpha 90.00
_cell_angle_beta 90.00
_cell_angle_gamma 90.00
_space_group_name_H-M_alt 'P 1'
_space_group_IT_number 1
loop_
_space_group_symop_operation_xyz
'x,y,z'
loop_
_atom_site_label
_atom_site_fract_x
_atom_site_fract_y
_atom_site_fract_z
N1 0.0000 0.0000 0.5000
Ge1 0.0000 0.0000 0.0000
Os1 0.5000 0.5000 0.5000
O1 0.0000 0.5000 0.0000
O2 0.5000 0.0000 0.0000
```

## Properties
Formation energy from raw total energies, eV per atom: 0.6733
Electronic total energy, eV/atom: -6.145
Volume, Å³/atom: 10.81
Magnetic moment, μB/f.u.: 3.87
ρ, g cm⁻³: 9.49

---

Below is crystalline GeOsNO2 at its relaxed geometry, with properties calculated at the PBE level.

```
data_GeOsNO2
_chemical_formula_sum 'Ge1 Os1 N1 O2'
_cell_length_a 3.9846
_cell_length_b 3.9846
_cell_length_c 3.7979
_cell_angle_alpha 90.00
_cell_angle_beta 90.00
_cell_angle_gamma 90.00
_space_group_name_H-M_alt 'P 1'
_space_group_IT_number 1
loop_
_space_group_symop_operation_xyz
'x,y,z'
loop_
_atom_site_label
_atom_site_fract_x
_atom_site_fract_y
_atom_site_fract_z
N1 0.0000 0.0000 0.5000
O1 0.5000 0.0000 0.0000
O2 0.0000 0.5000 0.0000
Ge1 0.5000 0.5000 0.5000
Os1 0.0000 0.0000 0.0000
```

## Properties
Formation energy from raw total energies, eV per atom: -0.0642
Electronic total energy, eV/atom: -6.882
Volume, Å³/atom: 12.06
Magnetic moment, μB/f.u.: 0.00
ρ, g cm⁻³: 8.51